No. 1
A plane-wave DFT calculation with PBE was carried out for crystalline Zn2GaCoS at its relaxed geometry.

a b c (Å): 4.710 4.188 4.710
angles (deg): 90.00 90.00 90.00
Last column: magnetic moment on the atom in μB.
Atoms (fractional coordinates):
Ga1 0.500 0.500 0.500  0.00
Zn1 0.000 0.000 0.500  0.00
Zn2 0.500 0.000 0.000  0.00
S1 0.000 0.500 0.000  0.03
Co1 0.000 0.000 0.000  0.17

Properties
Formation energy without anion corrections (eV/atom): 0.17
Magnetization (μB/cell): 0.2



No. 2
A plane-wave DFT calculation with PBE was carried out for crystalline Pm2Er3ThTe6 at its relaxed geometry.

a b c (Å): 4.304 8.979 9.993
angles (deg): 106.61 102.44 90.00
Atoms (fractional coordinates):
Pm1 0.841 0.685 0.683
Pm2 0.159 0.315 0.317
Te1 0.006 0.741 0.011
Te2 0.329 0.931 0.658
Te3 0.333 0.417 0.666
Te4 0.667 0.583 0.334
Te5 0.671 0.069 0.342
Te6 0.994 0.259 0.989
Er1 0.166 0.827 0.331
Er2 0.500 0.500 0.000
Er3 0.834 0.173 0.669
Th1 0.500 0.000 0.000

Properties
Formation energy without anion corrections (eV/atom): -1.24
Magnetization (μB/cell): 0.0



No. 3
A plane-wave DFT calculation with PBE was carried out for crystalline BaSmZn2Au5 at its relaxed geometry.

a b c (Å): 5.069 5.069 8.213
angles (deg): 90.00 90.00 90.00
Atoms (fractional coordinates):
Zn1 0.500 0.500 0.168
Zn2 0.500 0.500 0.832
Ba1 0.000 0.000 0.500
Au1 0.000 0.500 0.786
Au2 0.500 0.000 0.786
Au3 0.500 0.500 0.500
Au4 0.000 0.500 0.214
Au5 0.500 0.000 0.214
Sm1 0.000 0.000 0.000

Properties
Energy relative to the elements (eV per atom): -0.44
Magnetization (μB/cell): 0.0



No. 4
A plane-wave DFT calculation with PBE was carried out for crystalline InCu4Au2 at its relaxed geometry.

a b c (Å): 3.646 3.646 8.924
angles (deg): 101.79 101.79 90.00
Atoms (fractional coordinates):
Au1 0.619 0.619 0.237
Au2 0.381 0.381 0.763
Cu1 0.250 0.750 0.500
Cu2 0.150 0.150 0.300
Cu3 0.750 0.250 0.500
Cu4 0.850 0.850 0.700
In1 0.000 0.000 0.000

Properties
Energy relative to the elements (eV per atom): 0.04
Magnetization (μB/cell): 0.0



No. 5
A plane-wave DFT calculation with PBE was carried out for crystalline Hf6Ga2Sb at its relaxed geometry.

a b c (Å): 4.349 9.333 9.337
angles (deg): 90.00 90.00 90.00
Atoms (fractional coordinates):
Ga1 0.000 0.285 0.785
Ga2 0.500 0.215 0.285
Ga3 0.000 0.715 0.215
Ga4 0.500 0.785 0.715
Hf1 0.500 0.139 0.640
Hf2 0.500 0.861 0.360
Hf3 0.000 0.639 0.860
Hf4 0.000 0.361 0.140
Hf5 0.500 0.531 0.332
Hf6 0.000 0.668 0.531
Hf7 0.500 0.469 0.668
Hf8 0.000 0.332 0.469
Hf9 0.500 0.832 0.031
Hf10 0.000 0.031 0.168
Hf11 0.000 0.969 0.832
Hf12 0.500 0.168 0.969
Sb1 0.000 0.000 0.500
Sb2 0.500 0.500 0.000

Properties
Formation energy without anion corrections (eV/atom): -0.30
Magnetization (μB/cell): 0.0



No. 6
A plane-wave DFT calculation with PBE was carried out for crystalline Li12Ac at its relaxed geometry.

a b c (Å): 5.780 7.692 7.692
angles (deg): 81.88 67.93 67.93
Atoms (fractional coordinates):
Ac1 0.000 0.000 0.000
Li1 0.000 0.500 0.000
Li2 0.275 0.225 0.225
Li3 0.500 0.775 0.225
Li4 0.000 0.640 0.360
Li5 0.000 0.000 0.500
Li6 0.500 0.000 0.500
Li7 0.725 0.775 0.775
Li8 0.000 0.360 0.640
Li9 0.500 0.500 0.000
Li10 0.640 0.360 0.360
Li11 0.360 0.640 0.640
Li12 0.500 0.225 0.775

Properties
Energy relative to the elements (eV per atom): 0.05
Magnetization (μB/cell): 0.0



No. 7
A plane-wave DFT calculation with PBE was carried out for crystalline TbNdTmHg at its relaxed geometry.

a b c (Å): 3.637 3.637 8.887
angles (deg): 90.00 90.00 90.00
Atoms (fractional coordinates):
Tm1 0.500 0.500 0.357
Nd1 0.000 0.000 0.075
Tb1 0.500 0.500 0.789
Hg1 0.000 0.000 0.564

Properties
Distance to the lowest polymorph of the same formula (meV per atom): 0.0
Energy relative to the elements (eV per atom): -0.23
Magnetization (μB/cell): 0.0



No. 8
A plane-wave DFT calculation with PBE was carried out for crystalline Cr2Fe2Te at its relaxed geometry.

a b c (Å): 3.778 3.778 5.653
angles (deg): 70.48 70.48 90.00
Last column: magnetic moment on the atom in μB.
Atoms (fractional coordinates):
Cr1 0.250 0.750 0.500  0.01
Cr2 0.750 0.250 0.500  0.01
Te1 0.000 0.000 0.000  0.01
Fe1 0.620 0.620 0.760  0.25
Fe2 0.380 0.380 0.240  0.25

Properties
Distance to the lowest polymorph of the same formula (meV per atom): 0.0
Formation energy without anion corrections (eV/atom): 0.47
Magnetization (μB/cell): 0.5



No. 9
A plane-wave DFT calculation with PBE was carried out for crystalline Sr2LiSbS4 at its relaxed geometry.

a b c (Å): 8.173 8.173 8.332
angles (deg): 120.64 120.64 89.08
Atoms (fractional coordinates):
S1 0.759 0.741 0.985
S2 0.241 0.259 0.485
S3 0.751 0.268 0.510
S4 0.232 0.749 0.990
S5 0.768 0.251 0.010
S6 0.759 0.741 0.515
S7 0.241 0.259 0.015
S8 0.249 0.732 0.490
Li1 0.000 0.500 0.500
Li2 0.000 0.500 0.000
Sr1 0.500 0.000 0.000
Sr2 0.500 0.500 0.000
Sr3 0.500 0.000 0.500
Sr4 0.000 0.000 0.500
Sb1 0.500 0.500 0.500
Sb2 0.000 0.000 0.000

Properties
Formation energy without anion corrections (eV/atom): -1.33
Magnetization (μB/cell): 0.0



No. 10
A plane-wave DFT calculation with PBE was carried out for crystalline Rb3BaRe at its relaxed geometry.

a b c (Å): 6.907 6.907 6.907
angles (deg): 90.00 90.00 90.00
Last column: magnetic moment on the atom in μB.
Atoms (fractional coordinates):
Re1 0.000 0.000 0.000  2.95
Rb1 0.000 0.000 0.500  -0.02
Rb2 0.000 0.500 0.000  -0.01
Rb3 0.500 0.000 0.000  -0.01
Ba1 0.500 0.500 0.500  -0.16

Properties
Distance to the lowest polymorph of the same formula (meV per atom): 0.0
Energy relative to the elements (eV per atom): 1.41
Magnetization (μB/cell): 2.1



No. 11
A plane-wave DFT calculation with PBE was carried out for crystalline Tb12GaNi5 at its relaxed geometry.

a b c (Å): 8.308 8.308 8.308
angles (deg): 107.13 111.67 109.64
Atoms (fractional coordinates):
Tb1 0.303 0.324 0.628
Tb2 0.475 0.181 0.294
Tb3 0.811 0.594 0.783
Tb4 0.888 0.181 0.706
Tb5 0.697 0.676 0.372
Tb6 0.303 0.676 0.979
Tb7 0.697 0.324 0.021
Tb8 0.112 0.819 0.294
Tb9 0.189 0.406 0.217
Tb10 0.189 0.972 0.783
Tb11 0.811 0.028 0.217
Tb12 0.525 0.819 0.706
Ga1 0.000 0.500 0.500
Ni1 0.500 0.125 0.625
Ni2 0.500 0.875 0.375
Ni3 0.000 0.000 0.000
Ni4 0.638 0.638 0.000
Ni5 0.362 0.362 0.000

Properties
Energy relative to the elements (eV per atom): -0.33
Magnetization (μB/cell): 0.0



No. 12
A plane-wave DFT calculation with PBE was carried out for crystalline Hf2FeIr9 at its relaxed geometry.

a b c (Å): 3.924 3.924 11.775
angles (deg): 90.00 90.00 90.00
Last column: magnetic moment on the atom in μB.
Atoms (fractional coordinates):
Fe1 0.000 0.000 0.000  2.75
Ir1 0.000 0.500 0.500  -0.05
Ir2 0.000 0.500 0.158  0.05
Ir3 0.500 0.500 0.330  -0.04
Ir4 0.500 0.000 0.158  0.05
Ir5 0.500 0.500 0.670  -0.04
Ir6 0.500 0.000 0.500  -0.05
Ir7 0.500 0.000 0.842  0.05
Ir8 0.000 0.500 0.842  0.05
Ir9 0.500 0.500 0.000  -0.05
Hf1 0.000 0.000 0.331  -0.01
Hf2 0.000 0.000 0.669  -0.01

Properties
Energy relative to the elements (eV per atom): -0.54
Magnetization (μB/cell): 2.7



No. 13
A plane-wave DFT calculation with PBE was carried out for crystalline Ce2HoTe at its relaxed geometry.

a b c (Å): 5.445 5.445 5.444
angles (deg): 59.99 59.99 60.00
Last column: magnetic moment on the atom in μB.
Atoms (fractional coordinates):
Ce1 0.250 0.250 0.250  0.65
Ce2 0.750 0.750 0.750  0.65
Te1 0.000 0.000 0.000  -0.01
Ho1 0.500 0.500 0.500  0.38

Properties
Distance to the lowest polymorph of the same formula (meV per atom): 299.7
Formation energy without anion corrections (eV/atom): -0.22
Magnetization (μB/cell): 2.1



No. 14
A plane-wave DFT calculation with PBE was carried out for crystalline LiHoI3 at its relaxed geometry.

a b c (Å): 7.672 7.294 8.644
angles (deg): 61.39 61.98 57.84
Last column: magnetic moment on the atom in μB.
Atoms (fractional coordinates):
I1 0.242 0.585 0.230  0.00
I2 0.928 0.254 0.248  0.00
I3 0.758 0.415 0.770  0.00
I4 0.432 0.100 0.705  0.01
I5 0.072 0.746 0.752  0.00
I6 0.568 0.900 0.295  0.01
Ho1 0.634 0.720 0.011  0.63
Ho2 0.366 0.280 0.989  0.63
Li1 0.148 0.165 0.518  0.01
Li2 0.852 0.835 0.482  0.01

Properties
Formation energy without anion corrections (eV/atom): -1.10
Magnetization (μB/cell): 2.0



No. 15
A plane-wave DFT calculation with PBE was carried out for crystalline Tb2DyHgC at its relaxed geometry.

a b c (Å): 4.884 4.938 4.938
angles (deg): 90.00 90.00 90.00
Atoms (fractional coordinates):
Hg1 0.500 0.500 0.500
Tb1 0.000 0.500 0.000
Tb2 0.000 0.000 0.500
C1 0.000 0.000 0.000
Dy1 0.500 0.000 0.000

Properties
Energy relative to the elements (eV per atom): -0.35
Magnetization (μB/cell): 0.0



No. 16
A plane-wave DFT calculation with PBE was carried out for crystalline CePrCd4 at its relaxed geometry.

a b c (Å): 5.134 6.713 9.487
angles (deg): 69.28 90.00 90.00
Last column: magnetic moment on the atom in μB.
Atoms (fractional coordinates):
Cd1 0.250 0.462 0.083  0.00
Cd2 0.750 0.538 0.917  0.00
Cd3 0.250 0.784 0.417  0.00
Cd4 0.250 0.300 0.417  0.00
Cd5 0.750 0.045 0.917  0.00
Cd6 0.750 0.700 0.583  0.00
Cd7 0.250 0.955 0.083  0.00
Cd8 0.750 0.216 0.583  0.00
Ce1 0.250 0.374 0.751  0.85
Ce2 0.750 0.626 0.249  0.85
Pr1 0.750 0.124 0.252  0.13
Pr2 0.250 0.876 0.748  0.13

Properties
Distance to the lowest polymorph of the same formula (meV per atom): 0.7
Energy relative to the elements (eV per atom): -0.30
Magnetization (μB/cell): 2.5



No. 17
A plane-wave DFT calculation with PBE was carried out for crystalline Li2Al2Pb at its relaxed geometry.

a b c (Å): 4.026 4.026 7.180
angles (deg): 73.72 73.72 90.00
Atoms (fractional coordinates):
Al1 0.599 0.599 0.803
Al2 0.401 0.401 0.197
Pb1 0.000 0.000 0.000
Li1 0.750 0.250 0.500
Li2 0.250 0.750 0.500

Properties
Distance to the lowest polymorph of the same formula (meV per atom): 105.3
Energy relative to the elements (eV per atom): 0.08
Magnetization (μB/cell): 0.0



No. 18
A plane-wave DFT calculation with PBE was carried out for crystalline AcMgSnPt3 at its relaxed geometry.

a b c (Å): 5.919 5.923 9.040
angles (deg): 109.12 90.00 90.00
Atoms (fractional coordinates):
Mg1 0.750 0.900 0.800
Mg2 0.250 0.100 0.200
Pt1 0.750 0.746 0.492
Pt2 0.000 0.234 0.000
Pt3 0.000 0.766 0.000
Pt4 0.250 0.254 0.508
Pt5 0.500 0.234 0.000
Pt6 0.500 0.766 0.000
Ac1 0.250 0.780 0.560
Ac2 0.750 0.220 0.440
Sn1 0.250 0.410 0.820
Sn2 0.750 0.590 0.180

Properties
Energy relative to the elements (eV per atom): -0.68
Magnetization (μB/cell): 0.0



No. 19
A plane-wave DFT calculation with PBE was carried out for crystalline AcRuO3 at its relaxed geometry.

a b c (Å): 6.849 6.015 9.603
angles (deg): 90.00 98.04 90.00
Last column: magnetic moment on the atom in μB.
Atoms (fractional coordinates):
Ac1 0.023 0.381 0.804  0.01
Ac2 0.477 0.881 0.696  0.01
Ac3 0.977 0.619 0.196  0.01
Ac4 0.523 0.119 0.304  0.01
O1 0.177 0.959 0.271  0.08
O2 0.823 0.041 0.729  0.08
O3 0.323 0.459 0.229  0.08
O4 0.677 0.541 0.771  0.08
O5 0.662 0.855 0.492  0.07
O6 0.132 0.694 0.649  0.05
O7 0.368 0.194 0.851  0.05
O8 0.632 0.806 0.149  0.05
O9 0.162 0.645 0.992  0.07
O10 0.338 0.145 0.508  0.07
O11 0.838 0.355 0.008  0.07
O12 0.868 0.306 0.351  0.05
Ru1 0.431 0.606 0.079  0.68
Ru2 0.569 0.394 0.921  0.68
Ru3 0.069 0.106 0.421  0.68
Ru4 0.931 0.894 0.579  0.68

Properties
Formation energy without anion corrections (eV/atom): -1.88
Magnetization (μB/cell): 4.0



No. 20
A plane-wave DFT calculation with PBE was carried out for crystalline AcInNi4P2 at its relaxed geometry.

a b c (Å): 3.790 3.790 9.613
angles (deg): 90.00 90.00 90.00
Atoms (fractional coordinates):
In1 0.000 0.000 0.000
P1 0.500 0.500 0.313
P2 0.500 0.500 0.687
Ni1 0.500 0.000 0.801
Ni2 0.500 0.000 0.199
Ni3 0.000 0.500 0.199
Ni4 0.000 0.500 0.801
Ac1 0.000 0.000 0.500

Properties
Energy relative to the elements (eV per atom): -0.54
Magnetization (μB/cell): 0.0



Mass density in Mg/m³, matching the order above: 5.21 8.24 11.04 11.15 11.67 1.75 9.50 8.02 3.69 2.92 8.55 19.63 8.33 5.33 9.66 7.94 4.27 10.60 6.38 7.68
E in eV/atom, matching the order above: -3.19 -5.36 -3.28 -3.63 -8.06 -2.04 -3.78 -7.39 -4.57 -2.05 -5.19 -9.55 -5.12 -3.33 -5.03 -2.69 -2.92 -5.32 -7.53 -5.64